(1)
# SrMnC3

An optimized crystal structure of SrMnC3 (GGA-PBE, Alexandria via LeMat-Bulk).

CIF file:
```
data_SrMnC3
_chemical_formula_sum 'Sr1 Mn1 C3'
_symmetry_space_group_name_H-M 'P m -3 m'
_symmetry_Int_Tables_number 221
_symmetry_space_group_name_Hall '-P 4 2 3'
_cell_length_a 3.8985
_cell_length_b 3.8985
_cell_length_c 3.8985
_cell_angle_alpha 90.00
_cell_angle_beta 90.00
_cell_angle_gamma 90.00
loop_
_atom_site_label
_atom_site_type_symbol
_atom_site_fract_x
_atom_site_fract_y
_atom_site_fract_z
_atom_site_occupancy
Sr1 Sr 0.0000 0.0000 0.0000 1
Mn1 Mn 0.5000 0.5000 0.5000 1
C1 C 0.0000 0.5000 0.5000 1
```

Properties
total magnetic moment = 0.00 μB/cell
volume = 59.3 Å³/cell
D(E_F) = 5.16 states/eV per cell
ΔH_f (0 K) = 1128 meV/atom

=====

(2)
# SrMn3C

An optimized crystal structure of SrMn3C (GGA-PBE, Alexandria via LeMat-Bulk).

CIF file:
```
data_SrMn3C
_chemical_formula_sum 'Sr1 Mn3 C1'
_symmetry_space_group_name_H-M 'P m -3 m'
_symmetry_Int_Tables_number 221
_symmetry_space_group_name_Hall '-P 4 2 3'
_cell_length_a 4.1402
_cell_length_b 4.1402
_cell_length_c 4.1402
_cell_angle_alpha 90.00
_cell_angle_beta 90.00
_cell_angle_gamma 90.00
loop_
_atom_site_label
_atom_site_type_symbol
_atom_site_fract_x
_atom_site_fract_y
_atom_site_fract_z
_atom_site_occupancy
Sr1 Sr 0.0000 0.0000 0.0000 1
Mn1 Mn 0.0000 0.5000 0.5000 1
C1 C 0.5000 0.5000 0.5000 1
```

Properties
total magnetic moment = 7.01 μB/cell
volume = 71.0 Å³/cell
D(E_F) = 3.28 states/eV per cell
ΔH_f (0 K) = 530 meV/atom